Entry 1:
# Dy2Tm2Al (PBE, optimized geometry)
data_Dy2Tm2Al
_chemical_formula_sum 'Dy4 Tm4 Al2'
_symmetry_space_group_name_H-M 'C 1 2/m 1'
_symmetry_Int_Tables_number 12
_cell_length_a 12.347
_cell_length_b 3.653
_cell_length_c 8.580
_cell_angle_alpha 90.00
_cell_angle_beta 133.18
_cell_angle_gamma 90.00
loop_
_symmetry_equiv_pos_as_xyz
'x,y,z'
'-x,-y,-z'
'-x,y,-z'
'x,-y,z'
'x+1/2,y+1/2,z'
'-x+1/2,-y+1/2,-z'
'-x+1/2,y+1/2,-z'
'x+1/2,-y+1/2,z'
loop_
_atom_site_label
_atom_site_type_symbol
_atom_site_fract_x
_atom_site_fract_y
_atom_site_fract_z
Dy1 Dy 0.080 0.000 0.362
Tm1 Tm 0.240 0.500 0.827
Al1 Al 0.000 0.500 0.000
# DOS(E_F) (states/eV/cell): 14.368
# E_tot (eV/atom): -4.51
# ρ (Mg/m³): 8.1
# Energy above the lowest structure with this stoichiometry (eV per atom): 0.000
# Formation enthalpy at 0 K (eV/atom): -0.135
# M_tot (μB per atom): 0.000

---

Entry 2:
# SrY2As (PBE, optimized geometry)
data_SrY2As
_chemical_formula_sum 'Sr2 Y4 As2'
_symmetry_space_group_name_H-M 'C 1 2/m 1'
_symmetry_Int_Tables_number 12
_cell_length_a 6.820
_cell_length_b 11.228
_cell_length_c 3.585
_cell_angle_alpha 90.00
_cell_angle_beta 119.85
_cell_angle_gamma 90.00
loop_
_symmetry_equiv_pos_as_xyz
'x,y,z'
'-x,-y,-z'
'-x,y,-z'
'x,-y,z'
'x+1/2,y+1/2,z'
'-x+1/2,-y+1/2,-z'
'-x+1/2,y+1/2,-z'
'x+1/2,-y+1/2,z'
loop_
_atom_site_label
_atom_site_type_symbol
_atom_site_fract_x
_atom_site_fract_y
_atom_site_fract_z
Sr1 Sr 0.000 0.000 0.000
Y1 Y 0.250 0.250 0.500
As1 As 0.000 0.500 0.000
# DOS(E_F) (states/eV/cell): 8.792
# E_tot (eV/atom): -4.96
# ρ (Mg/m³): 4.7
# Formation enthalpy at 0 K (eV/atom): -0.142
# M_tot (μB per atom): 0.000

---

Repeat the second record exactly.
# SrY2As (PBE, optimized geometry)
data_SrY2As
_chemical_formula_sum 'Sr2 Y4 As2'
_symmetry_space_group_name_H-M 'C 1 2/m 1'
_symmetry_Int_Tables_number 12
_cell_length_a 6.820
_cell_length_b 11.228
_cell_length_c 3.585
_cell_angle_alpha 90.00
_cell_angle_beta 119.85
_cell_angle_gamma 90.00
loop_
_symmetry_equiv_pos_as_xyz
'x,y,z'
'-x,-y,-z'
'-x,y,-z'
'x,-y,z'
'x+1/2,y+1/2,z'
'-x+1/2,-y+1/2,-z'
'-x+1/2,y+1/2,-z'
'x+1/2,-y+1/2,z'
loop_
_atom_site_label
_atom_site_type_symbol
_atom_site_fract_x
_atom_site_fract_y
_atom_site_fract_z
Sr1 Sr 0.000 0.000 0.000
Y1 Y 0.250 0.250 0.500
As1 As 0.000 0.500 0.000
# DOS(E_F) (states/eV/cell): 8.792
# E_tot (eV/atom): -4.96
# ρ (Mg/m³): 4.7
# Formation enthalpy at 0 K (eV/atom): -0.142
# M_tot (μB per atom): 0.000

---

Question: Look up the E_tot of the first one.
Answer: -4.51 eV/atom

---

Question: Which formula does entry 2 have?
Answer: SrY2As

---

Question: formation enthalpy at 0 K of number 1 (Dy2Tm2Al)?
Answer: -0.135 eV/atom